VASP calculation (PBE with a Hubbard U) on a geometry-optimized Fe4O7F structure.

Properties
DOS at the Fermi energy: 6.790 states/eV per cell
volume: 248.8 Å³ per cell
VASP energy: -6.032 eV/atom

Lattice parameters (Å, degrees): 6.983 6.983 6.631 90.00 90.00 129.68
Fractional positions:
Fe (0.375, 0.625, 0.026)
Fe (0.875, 0.125, 0.985)
Fe (0.632, 0.882, 0.494)
Fe (0.118, 0.368, 0.494)
Fe (0.368, 0.118, 0.994)
Fe (0.882, 0.632, 0.994)
Fe (0.625, 0.375, 0.526)
Fe (0.125, 0.875, 0.485)
O (0.223, 0.276, 0.000)
O (0.724, 0.777, 0.000)
O (0.375, 0.625, 0.318)
O (0.875, 0.125, 0.311)
O (0.126, 0.874, 0.180)
O (0.874, 0.126, 0.680)
O (0.526, 0.974, 0.999)
O (0.026, 0.474, 0.999)
O (0.276, 0.223, 0.500)
O (0.777, 0.724, 0.500)
O (0.974, 0.526, 0.499)
O (0.474, 0.026, 0.499)
O (0.625, 0.375, 0.818)
O (0.125, 0.875, 0.811)
F (0.376, 0.624, 0.694)
F (0.624, 0.376, 0.194)